1.
Here is Ta2CoHg after structural relaxation from Alexandria via LeMat-Bulk. Energies are from GGA-PBE.

Summary:
- Crystal system: tetragonal
- Final energy: -7.523 eV per atom
- Formation energy: 0.26 eV per atom
- Magnetic moment: 0.9 Bohr magnetons per cell
- N(E_F): 2.7 states/eV per cell

Lattice parameters (Å, degrees): 3.993 3.993 4.181 90.00 90.00 90.00
Space group P4/mmm (No. 123)
Inequivalent atoms, fractional coordinates:
1 Ta 0.000 0.500 0.000 [2 per cell]
2 Co 0.000 0.000 0.500 [1 per cell]
3 Hg 0.500 0.500 0.500 [1 per cell]


2.
Here is ZrHN3 after structural relaxation from Alexandria via LeMat-Bulk. Energies are from GGA-PBE.

Summary:
- Crystal system: cubic
- Final energy: -5.742 eV per atom
- Magnetic moment: 4.1 Bohr magnetons per cell
- N(E_F): 6.9 states/eV per cell

Lattice parameters (Å, degrees): 4.290 4.290 4.290 90.00 90.00 90.00
Space group Pm-3m (No. 221)
Inequivalent atoms, fractional coordinates:
1 Zr 0.000 0.000 0.000 [1 per cell]
2 H 0.500 0.500 0.500 [1 per cell]
3 N 0.000 0.000 0.500 [3 per cell]


3.
Here is CoMo2Pt after structural relaxation from Alexandria via LeMat-Bulk. Energies are from GGA-PBE.

Summary:
- Crystal system: monoclinic
- Final energy: -8.659 eV per atom
- Formation energy: 0.04 eV per atom
- Magnetic moment: 1.7 Bohr magnetons per cell
- N(E_F): 8.7 states/eV per cell
- Energy above the lowest structure with this stoichiometry: 182.3 meV per atom

Lattice parameters (Å, degrees): 9.220 2.795 4.599 90.00 101.24 90.00
Space group C2/m (No. 12)
Inequivalent atoms, fractional coordinates:
1 Co 0.000 0.000 0.000 [2 per cell]
2 Mo 0.246 0.500 0.240 [4 per cell]
3 Pt 0.000 0.500 0.500 [2 per cell]


4.
Here is Dy2Ho8Zn after structural relaxation from Alexandria via LeMat-Bulk. Energies are from GGA-PBE.

Summary:
- Crystal system: monoclinic
- Final energy: -4.302 eV per atom
- Formation energy: -0.02 eV per atom
- Magnetic moment: 0.0 Bohr magnetons per cell
- N(E_F): 32.0 states/eV per cell

Lattice parameters (Å, degrees): 18.970 5.460 6.337 90.00 94.27 90.00
Space group C2/m (No. 12)
Inequivalent atoms, fractional coordinates:
1 Dy 0.242 0.000 0.331 [4 per cell]
2 Ho 0.042 0.000 0.255 [4 per cell]
3 Ho 0.077 0.500 0.609 [4 per cell]
4 Ho 0.155 0.500 0.124 [4 per cell]
5 Ho 0.156 0.000 0.808 [4 per cell]
6 Zn 0.000 0.500 0.000 [2 per cell]


5.
Here is Zr2TcSe after structural relaxation from Alexandria via LeMat-Bulk. Energies are from GGA-PBE.

Summary:
- Crystal system: orthorhombic
- Final energy: -8.043 eV per atom
- Magnetic moment: 0.0 Bohr magnetons per cell
- N(E_F): 8.1 states/eV per cell
- E_form (uncorrected): -306 meV/atom

Lattice parameters (Å, degrees): 3.651 5.121 8.198 90.00 90.00 90.00
Space group Immm (No. 71)
Inequivalent atoms, fractional coordinates:
1 Zr 0.000 0.000 0.248 [4 per cell]
2 Tc 0.000 0.500 0.500 [2 per cell]
3 Se 0.000 0.500 0.000 [2 per cell]


6.
Here is NiPRu3 after structural relaxation from Alexandria via LeMat-Bulk. Energies are from GGA-PBE.

Summary:
- Crystal system: cubic
- Final energy: -7.153 eV per atom
- Formation energy: 0.65 eV per atom
- Magnetic moment: 2.6 Bohr magnetons per cell
- N(E_F): 8.8 states/eV per cell
- Energy above the lowest structure with this stoichiometry: 0.0 meV per atom

Lattice parameters (Å, degrees): 4.307 4.307 4.307 90.00 90.00 90.00
Space group Pm-3m (No. 221)
Inequivalent atoms, fractional coordinates:
1 Ni 0.000 0.000 0.000 [1 per cell]
2 P 0.500 0.500 0.500 [1 per cell]
3 Ru 0.000 0.500 0.500 [3 per cell]


7.
Here is Re2POs after structural relaxation from Alexandria via LeMat-Bulk. Energies are from GGA-PBE.

Summary:
- Crystal system: tetragonal
- Final energy: -9.925 eV per atom
- Formation energy: 0.46 eV per atom
- Magnetic moment: 0.0 Bohr magnetons per cell
- N(E_F): 8.9 states/eV per cell

Lattice parameters (Å, degrees): 3.783 3.783 7.895 90.00 90.00 90.00
Space group I4/mmm (No. 139)
Inequivalent atoms, fractional coordinates:
1 Re 0.000 0.500 0.250 [4 per cell]
2 P 0.000 0.000 0.000 [2 per cell]
3 Os 0.000 0.000 0.500 [2 per cell]


8.
Here is BaLi2Os after structural relaxation from Alexandria via LeMat-Bulk. Energies are from GGA-PBE.

Summary:
- Crystal system: tetragonal
- Final energy: -3.450 eV per atom
- Formation energy: 0.80 eV per atom
- Magnetic moment: 3.1 Bohr magnetons per cell
- N(E_F): 12.6 states/eV per cell
- Energy above the lowest structure with this stoichiometry: 198.7 meV per atom

Lattice parameters (Å, degrees): 4.617 4.617 18.629 90.00 90.00 90.00
Space group I-42d (No. 122)
Inequivalent atoms, fractional coordinates:
1 Ba 0.000 0.000 0.000 [4 per cell]
2 Li 0.080 0.250 0.625 [8 per cell]
3 Os 0.000 0.000 0.500 [4 per cell]